The following is a DFT calculation (PBE-GGA) of crystalline CaCdAu at its relaxed geometry.

Properties
Total energy in eV for the cell shown: -32.3
DFT formation energy in eV/atom: -0.63

```
data_CaCdAu
_chemical_formula_sum 'Ca4 Cd4 Au4'
_cell_length_a 7.5298
_cell_length_b 4.2881
_cell_length_c 8.9990
_cell_angle_alpha 90.00
_cell_angle_beta 90.00
_cell_angle_gamma 90.00
_space_group_name_H-M_alt 'P n m a'
_space_group_IT_number 62
loop_
_space_group_symop_operation_xyz
'x,y,z'
'-x,-y,-z'
'-x+1/2,-y,z+1/2'
'x+1/2,y,-z+1/2'
'x+1/2,-y+1/2,-z+1/2'
'-x+1/2,y+1/2,z+1/2'
'-x,y+1/2,-z'
'x,-y+1/2,z'
loop_
_atom_site_label
_atom_site_type_symbol
_atom_site_fract_x
_atom_site_fract_y
_atom_site_fract_z
Ca1 Ca 0.0481 0.2500 0.1818
Cd1 Cd 0.1370 0.2500 0.5616
Au1 Au 0.2425 0.2500 0.8699
```